--- i ---
Computed, not measured: a crystal of BeFe2Pb relaxed with PBEsol at the meta-GGA SCAN level of DFT.

Cell and atoms, written as extended XYZ:
```
4
Lattice="2.894 0.000 0.005 0.000 3.712 0.000 -0.986 0.000 5.252" Properties=species:S:1:pos:R:3 pbc="T T T"
Be 0.954 1.856 2.629
Fe 0.136 0.000 1.694
Fe 1.772 0.000 3.563
Pb 1.447 1.856 0.002
```

Results
- Space-group type: P2/m (10)

--- ii ---
Computed, not measured: a crystal of BeFe2Pb relaxed with PBEsol at the meta-GGA SCAN level of DFT.

Cell and atoms, written as extended XYZ:
```
4
Lattice="2.974 0.000 0.000 0.000 2.974 0.000 0.000 0.000 6.261" Properties=species:S:1:pos:R:3 pbc="T T T"
Be 1.487 1.487 3.130
Fe 0.000 0.000 2.028
Fe 0.000 0.000 4.233
Pb 1.487 1.487 0.000
```

Results
- Space-group type: P4/mmm (123)

Result of the stability comparison: i is the least stable of them.

--- i ---
Computed, not measured: a crystal of BeFePt relaxed with PBEsol at the meta-GGA SCAN level of DFT.

Cell and atoms, written as extended XYZ:
```
3
Lattice="2.653 0.000 0.000 -1.326 2.298 0.000 0.000 0.000 5.826" Properties=species:S:1:pos:R:3 pbc="T T T"
Fe 0.000 1.532 4.013
Pt 1.326 0.766 1.833
Be 0.000 0.000 5.806
```

Results
- Space-group type: P3m1 (156)

--- ii ---
Computed, not measured: a crystal of BeFePt relaxed with PBEsol at the meta-GGA SCAN level of DFT.

Cell and atoms, written as extended XYZ:
```
3
Lattice="-1.429 0.211 2.213 1.895 -3.111 1.521 1.414 3.641 0.565" Properties=species:S:1:pos:R:3 pbc="T T T"
Fe 1.574 1.391 0.884
Be -0.714 0.106 1.106
Pt 1.020 -0.754 2.308
```

Results
- Space-group type: P-6m2 (187)

Result of the stability comparison: i is the least stable of them.

--- i ---
Computed, not measured: a crystal of BeFeRe relaxed with PBEsol at the meta-GGA SCAN level of DFT.

Cell and atoms, written as extended XYZ:
```
3
Lattice="3.761 0.000 0.000 1.880 3.257 0.000 1.880 1.086 3.071" Properties=species:S:1:pos:R:3 pbc="T T T"
Be 3.761 2.171 1.535
Fe 1.880 1.086 0.768
Re 0.000 0.000 0.000
```

Results
- Space-group type: F-43m (216)

--- ii ---
Computed, not measured: a crystal of BeFeRe relaxed with PBEsol at the meta-GGA SCAN level of DFT.

Cell and atoms, written as extended XYZ:
```
3
Lattice="2.713 0.000 0.000 0.000 2.713 0.000 -1.357 -1.357 4.339" Properties=species:S:1:pos:R:3 pbc="T T T"
Re 1.356 1.356 1.451
Be 1.357 1.357 4.207
Fe -0.001 -0.001 3.019
```

Results
- Space-group type: I4mm (107)

--- iii ---
Computed, not measured: a crystal of BeFeRe relaxed with PBEsol at the meta-GGA SCAN level of DFT.

Cell and atoms, written as extended XYZ:
```
3
Lattice="2.618 0.000 0.000 -1.309 2.267 0.000 0.000 0.000 5.844" Properties=species:S:1:pos:R:3 pbc="T T T"
Fe 0.000 1.511 3.963
Re 1.309 0.756 1.967
Be 0.000 0.000 5.758
```

Results
- Space-group type: P3m1 (156)

Result of the stability comparison: i is the least stable of them.

--- i ---
Computed, not measured: a crystal of BeFeRu relaxed with PBEsol at the meta-GGA SCAN level of DFT.

Cell and atoms, written as extended XYZ:
```
3
Lattice="-3.297 1.791 0.188 -2.985 -1.365 -1.826 -2.850 -1.510 1.925" Properties=species:S:1:pos:R:3 pbc="T T T"
Fe -4.566 -0.542 0.143
Ru -2.283 -0.271 0.072
Be 0.000 0.000 0.000
```

Results
- Space-group type: F-43m (216)

--- ii ---
Computed, not measured: a crystal of BeFeRu relaxed with PBEsol at the meta-GGA SCAN level of DFT.

Cell and atoms, written as extended XYZ:
```
3
Lattice="2.683 0.000 0.000 0.000 2.683 0.000 -1.342 -1.342 4.256" Properties=species:S:1:pos:R:3 pbc="T T T"
Fe 1.342 1.342 1.314
Ru 0.000 0.000 2.865
Be 0.000 0.000 0.077
```

Results
- Space-group type: I4mm (107)

Result of the stability comparison: i is the least stable of them.

--- i ---
Computed, not measured: a crystal of BeFe2Sb relaxed with PBEsol at the meta-GGA SCAN level of DFT.

Cell and atoms, written as extended XYZ:
```
4
Lattice="4.132 0.000 0.000 2.066 3.579 0.000 2.066 1.193 3.374" Properties=species:S:1:pos:R:3 pbc="T T T"
Fe 0.000 0.000 0.000
Fe 2.066 1.193 0.844
Sb 6.199 3.579 2.531
Be 4.132 2.386 1.687
```

Results
- Space-group type: F-43m (216)

--- ii ---
Computed, not measured: a crystal of BeFe2Sb relaxed with PBEsol at the meta-GGA SCAN level of DFT.

Cell and atoms, written as extended XYZ:
```
4
Lattice="3.079 0.000 0.000 0.000 3.079 0.000 0.000 0.000 5.392" Properties=species:S:1:pos:R:3 pbc="T T T"
Sb 0.000 0.000 2.641
Fe 1.539 1.539 1.200
Fe 0.000 0.000 5.253
Be 1.539 1.539 4.386
```

Results
- Space-group type: P4mm (99)

Result of the stability comparison: i is the least stable of them.

--- i ---
Computed, not measured: a crystal of BeFe3Se relaxed with PBEsol at the meta-GGA SCAN level of DFT.

Cell and atoms, written as extended XYZ:
```
5
Lattice="3.969 0.000 0.000 0.000 3.969 0.000 0.000 0.000 3.969" Properties=species:S:1:pos:R:3 pbc="T T T"
Se 1.985 1.985 1.985
Fe 0.000 0.000 1.985
Fe 1.985 0.000 0.000
Fe 0.000 1.985 0.000
Be 0.000 0.000 0.000
```

Results
- Space-group type: Pm-3m (221)

--- ii ---
Computed, not measured: a crystal of BeFe3Se relaxed with PBEsol at the meta-GGA SCAN level of DFT.

Cell and atoms, written as extended XYZ:
```
5
Lattice="-3.742 -1.471 -1.347 0.875 -3.784 1.702 -1.792 1.224 3.643" Properties=species:S:1:pos:R:3 pbc="T T T"
Be -2.330 -2.015 1.999
Fe 0.437 -1.892 0.851
Fe -0.896 0.612 1.822
Fe -1.871 -0.735 -0.673
Se 0.000 0.000 0.000
```

Results
- Space-group type: Pm-3m (221)

Result of the stability comparison: ii is the least stable of them.